# Ac4In2C

A relaxed structure of Ac4In2C (GGA-PBE, Alexandria via LeMat-Bulk).

Computed properties:
E ... -4.609 eV per atom
Crystal system ... tetragonal
Energy of formation ... -16 kJ per mole of atoms
Spin magnetization ... 0.00 μB/atom

Lattice parameters (Å, degrees): 5.5403 5.5403 9.0639 107.80 107.80 90.00
Positions (direct):
Ac: 0.8342 0.8342 0.6684
Ac: 0.1658 0.1658 0.3316
Ac: 0.0000 0.5000 0.0000
Ac: 0.5000 0.0000 0.0000
C: 0.0000 0.0000 0.0000
In: 0.6278 0.6278 0.2556
In: 0.3722 0.3722 0.7444



# Ac5IrC4

A relaxed structure of Ac5IrC4 (GGA-PBE, Alexandria via LeMat-Bulk).

Computed properties:
E ... -6.270 eV per atom
Crystal system ... tetragonal
Energy of formation ... 35 kJ per mole of atoms
Spin magnetization ... 0.00 μB/atom

Lattice parameters (Å, degrees): 6.0332 6.9402 6.9402 79.11 64.24 64.24
Positions (direct):
Ac: 0.3135 0.5752 0.7957
Ac: 0.1092 0.2043 0.5752
Ac: 0.8887 0.7957 0.4248
Ac: 0.6845 0.4248 0.2043
Ac: 0.4990 0.0000 0.0000
Ir: 0.9990 0.0000 0.0000
C: 0.8030 0.5928 0.7991
C: 0.6021 0.2009 0.5928
C: 0.3958 0.7991 0.4072
C: 0.1949 0.4072 0.2009



# AcIrC2

A relaxed structure of AcIrC2 (GGA-PBE, Alexandria via LeMat-Bulk).

Computed properties:
E ... -8.046 eV per atom
Crystal system ... orthorhombic
Energy of formation ... -18 kJ per mole of atoms
Spin magnetization ... 0.00 μB/atom

Lattice parameters (Å, degrees): 4.1081 4.1256 4.1256 110.31 90.00 90.00
Positions (direct):
Ac: 0.0000 0.9912 0.0088
Ir: 0.5000 0.6104 0.3896
C: 0.5000 0.1610 0.5475
C: 0.5000 0.4525 0.8390



# Ac12Ir3C5

A relaxed structure of Ac12Ir3C5 (GGA-PBE, Alexandria via LeMat-Bulk).

Computed properties:
E ... -6.107 eV per atom
Crystal system ... cubic
Energy of formation ... -1 kJ per mole of atoms
Spin magnetization ... 0.00 μB/atom

Lattice parameters (Å, degrees): 14.6134 14.6134 14.6134 109.47 109.47 109.47
Positions (direct):
Ir: 0.7500 0.3750 0.1250
Ir: 0.8750 0.7500 0.1250
Ir: 0.3750 0.7500 0.6250
Ir: 0.2500 0.1250 0.3750
Ir: 0.8750 0.1250 0.2500
Ir: 0.3750 0.6250 0.2500
Ir: 0.6250 0.3750 0.7500
Ir: 0.1250 0.8750 0.7500
Ir: 0.7500 0.8750 0.6250
Ir: 0.6250 0.2500 0.3750
Ir: 0.1250 0.2500 0.8750
Ir: 0.2500 0.6250 0.8750
C: 0.1250 0.3750 0.2500
C: 0.0000 0.5000 0.0000
C: 0.0000 0.0000 0.0000
C: 0.3750 0.2500 0.1250
C: 0.5000 0.0000 0.5000
C: 0.5000 0.5000 0.0000
C: 0.1250 0.7500 0.3750
C: 0.7500 0.1250 0.8750
C: 0.7500 0.6250 0.3750
C: 0.3750 0.1250 0.7500
C: 0.6250 0.8750 0.2500
C: 0.5000 0.5000 0.5000
C: 0.5000 0.0000 0.0000
C: 0.0000 0.0000 0.5000
C: 0.2500 0.3750 0.6250
C: 0.2500 0.8750 0.1250
C: 0.0000 0.5000 0.5000
C: 0.8750 0.2500 0.6250
C: 0.6250 0.7500 0.8750
C: 0.8750 0.6250 0.7500
Ac: 0.7093 0.1266 0.0309
Ac: 0.3216 0.5309 0.4042
Ac: 0.9691 0.3734 0.2907
Ac: 0.5309 0.2093 0.1266
Ac: 0.5826 0.7093 0.6784
Ac: 0.9691 0.5958 0.1784
Ac: 0.3216 0.7907 0.4174
Ac: 0.0958 0.9174 0.1266
Ac: 0.5958 0.9691 0.6784
Ac: 0.7093 0.5826 0.1784
Ac: 0.7907 0.4691 0.3734
Ac: 0.8216 0.9042 0.0309
Ac: 0.1266 0.7093 0.5309
Ac: 0.3734 0.4042 0.0826
Ac: 0.0826 0.9042 0.3734
Ac: 0.4174 0.1266 0.5958
Ac: 0.0826 0.1784 0.2093
Ac: 0.4691 0.6784 0.0958
Ac: 0.8216 0.9174 0.2907
Ac: 0.1266 0.4174 0.0958
Ac: 0.3734 0.9691 0.7907
Ac: 0.5958 0.6266 0.4174
Ac: 0.9042 0.8216 0.5309
Ac: 0.7907 0.3216 0.9174
Ac: 0.4042 0.3734 0.5826
Ac: 0.0958 0.1784 0.4691
Ac: 0.2093 0.6784 0.0826
Ac: 0.1784 0.0826 0.7093
Ac: 0.6266 0.0309 0.2093
Ac: 0.8734 0.5826 0.9042
Ac: 0.5309 0.3216 0.9042
Ac: 0.5826 0.8734 0.4042
Ac: 0.9174 0.8216 0.7907
Ac: 0.9174 0.0958 0.6266
Ac: 0.8734 0.2907 0.4691
Ac: 0.1784 0.0958 0.9691
Ac: 0.6266 0.5958 0.9174
Ac: 0.4042 0.0309 0.3216
Ac: 0.2907 0.4174 0.8216
Ac: 0.2093 0.5309 0.6266
Ac: 0.9042 0.0826 0.8734
Ac: 0.6784 0.2093 0.5826
Ac: 0.4691 0.7907 0.8734
Ac: 0.0309 0.4042 0.8216
Ac: 0.4174 0.2907 0.3216
Ac: 0.0309 0.6266 0.7093
Ac: 0.6784 0.4691 0.5958
Ac: 0.2907 0.8734 0.9691



# AcIrC

A relaxed structure of AcIrC (GGA-PBE, Alexandria via LeMat-Bulk).

Computed properties:
E ... -7.678 eV per atom
Crystal system ... triclinic
Energy of formation ... -27 kJ per mole of atoms
Spin magnetization ... 0.00 μB/atom
Energy above the lowest structure with this stoichiometry ... 0 meV/atom

Lattice parameters (Å, degrees): 4.4229 4.4302 7.6151 106.27 61.40 96.90
Positions (direct):
Ac: 0.9534 0.9192 0.2478
Ac: 0.0466 0.0808 0.7522
Ir: 0.6349 0.5319 0.6306
Ir: 0.3651 0.4681 0.3694
C: 0.5245 0.5254 0.9131
C: 0.4755 0.4746 0.0869



# Ac3IrC4

A relaxed structure of Ac3IrC4 (GGA-PBE, Alexandria via LeMat-Bulk).

Computed properties:
E ... -7.427 eV per atom
Crystal system ... monoclinic
Energy of formation ... -16 kJ per mole of atoms
Spin magnetization ... 0.00 μB/atom

Lattice parameters (Å, degrees): 4.0182 4.6587 8.8786 98.81 103.08 90.00
Positions (direct):
Ac: 0.3245 0.7936 0.6490
Ac: 0.6755 0.2064 0.3510
Ac: 0.5000 0.5000 0.0000
Ir: 0.0000 0.0000 0.0000
C: 0.9017 0.1679 0.8033
C: 0.0983 0.8321 0.1967
C: 0.8349 0.2784 0.6698
C: 0.1651 0.7216 0.3302



# AcIrC

A relaxed structure of AcIrC (GGA-PBE, Alexandria via LeMat-Bulk).

Computed properties:
E ... -6.704 eV per atom
Crystal system ... orthorhombic
Energy of formation ... 67 kJ per mole of atoms
Spin magnetization ... 0.00 μB/atom
Energy above the lowest structure with this stoichiometry ... 975 meV/atom

Lattice parameters (Å, degrees): 3.8159 3.8159 6.0854 97.39 97.39 126.16
Positions (direct):
C: 0.0385 0.0385 0.0771
Ac: 0.3484 0.3484 0.6968
Ir: 0.6131 0.6131 0.2262



# AcIrC

A relaxed structure of AcIrC (GGA-PBE, Alexandria via LeMat-Bulk).

Computed properties:
E ... -7.258 eV per atom
Crystal system ... hexagonal
Energy of formation ... 14 kJ per mole of atoms
Spin magnetization ... 0.00 μB/atom
Energy above the lowest structure with this stoichiometry ... 421 meV/atom

Lattice parameters (Å, degrees): 4.8059 3.6681 3.6681 120.00 90.00 90.00
Positions (direct):
Ac: 0.6668 0.6667 0.3333
Ir: 0.1669 0.3333 0.6667
C: 0.1663 0.0000 0.0000